Computed, not measured: a relaxed LuZnCoHg crystal at the GGA-PBE level of DFT.

a b c (Å): 4.6804 4.6804 4.6804
angles (deg): 60.00 60.00 60.00
Positions (direct):
Co (0.7500, 0.7500, 0.7500)
Zn (0.0000, 0.0000, 0.0000)
Lu (0.2500, 0.2500, 0.2500)
Hg (0.5000, 0.5000, 0.5000)

energy of formation = -0.0094 eV per atom
crystal system = cubic